Record 1
A plane-wave DFT calculation with GGA+U was carried out for a relaxed LuFe2O4 crystal.

Properties
Total moment   5.2 μB per formula unit

```
LuFe2O4
1.0
1.766 1.019 7.777
-1.766 1.019 7.777
0.000 -2.039 7.777
Lu Fe O
1 2 4
Cartesian
0.000 0.000 0.000
0.000 0.000 4.908
0.000 0.000 18.423
0.000 0.000 2.955
0.000 0.000 6.812
0.000 0.000 16.520
0.000 0.000 20.376
```



Record 2
A plane-wave DFT calculation with GGA+U was carried out for a relaxed Lu2Fe3O7 crystal.

Properties
Total moment   4.4 μB per formula unit

```
Lu2Fe3O7
1.0
3.458 0.000 0.000
-1.729 2.995 0.000
0.000 0.000 28.830
Lu Fe O
4 6 14
Cartesian
0.000 1.997 4.265
0.000 1.997 10.150
1.729 0.998 18.680
1.729 0.998 24.565
0.000 0.000 7.207
0.000 0.000 21.622
0.000 1.997 15.634
0.000 1.997 27.611
1.729 0.998 1.219
1.729 0.998 13.196
0.000 0.000 5.194
0.000 0.000 9.221
0.000 0.000 19.609
0.000 0.000 23.635
0.000 1.997 0.954
0.000 1.997 7.207
0.000 1.997 13.461
0.000 1.997 17.584
0.000 1.997 25.660
1.729 0.998 3.169
1.729 0.998 11.245
1.729 0.998 15.368
1.729 0.998 21.622
1.729 0.998 27.876
```



Record 3
A plane-wave DFT calculation with GGA+U was carried out for a relaxed LuScFe2O6 crystal.

Properties
Total moment   0.0 μB per formula unit

```
LuScFe2O6
1.0
5.946 0.000 0.000
-2.973 5.150 0.000
0.000 0.000 11.643
Lu Sc Fe O
3 3 6 18
Cartesian
0.000 0.000 0.000
0.000 0.000 5.806
0.000 3.433 5.813
0.000 3.433 11.640
2.973 1.717 0.463
2.973 1.717 6.298
1.993 0.005 3.093
1.000 1.723 8.940
3.954 0.004 8.940
1.981 3.421 3.093
4.945 1.724 3.093
3.966 3.422 8.940
0.000 0.000 3.358
0.000 0.000 9.240
-1.917 3.554 7.004
-0.826 1.755 1.160
-1.040 4.988 1.160
0.854 1.712 7.004
0.000 3.433 3.402
0.000 3.433 9.193
2.092 0.197 5.054
1.186 1.768 10.903
3.822 0.143 10.903
1.867 3.557 1.160
2.973 1.717 2.725
2.973 1.717 8.602
2.097 3.240 5.054
1.063 5.033 7.004
4.730 1.713 5.054
3.911 3.239 10.903
```



Record 4
A plane-wave DFT calculation with GGA+U was carried out for a relaxed LuZn4FeO7 crystal.

Properties
Total moment   5.0 μB per formula unit

```
LuZn4FeO7
1.0
3.364 0.000 0.000
-1.682 2.913 0.000
0.000 0.000 33.269
Lu Zn Fe O
2 8 2 14
Cartesian
0.000 0.000 0.000
0.000 0.000 16.634
0.000 0.000 5.668
0.000 0.000 10.966
0.000 0.000 22.303
0.000 0.000 27.601
0.000 1.942 3.059
0.000 1.942 13.575
1.682 0.971 19.694
1.682 0.971 30.210
0.000 1.942 8.317
1.682 0.971 24.952
0.000 0.000 3.666
0.000 0.000 8.317
0.000 0.000 12.968
0.000 0.000 20.301
0.000 0.000 24.952
0.000 0.000 29.603
0.000 1.942 1.076
0.000 1.942 6.274
0.000 1.942 10.361
0.000 1.942 15.559
1.682 0.971 17.710
1.682 0.971 22.908
1.682 0.971 26.995
1.682 0.971 32.193
```



Record 5
A plane-wave DFT calculation with GGA+U was carried out for a relaxed LuZnFeO4 crystal.

Properties
Total moment   5.0 μB per formula unit

```
LuZnFeO4
1.0
1.713 0.989 8.610
-1.713 0.989 8.610
0.000 -1.979 8.610
Lu Zn Fe O
1 1 1 4
Cartesian
0.000 0.000 0.000
0.000 0.000 20.247
0.000 0.000 5.597
0.000 0.000 3.575
0.000 0.000 7.582
0.000 0.000 18.260
0.000 0.000 22.825
```



no.,final energy (eV/f.u.)
1,-48.02
2,-88.84
3,-77.23
4,-74.05
5,-46.89